LiCaMg5Cd2 | Alexandria | GGA-PBE | optimized geometry; symmetry = P4/mmm; crystal system = tetragonal
1.0
-0.9944 -3.3719 -3.5339
-2.1074 -2.9573 3.4147
-8.5985 4.2448 -1.6306
Li Ca Mg Cd
1 1 5 2
direct
0.0000 0.0000 0.0000
0.0000 0.0000 0.5000
0.0000 0.5000 0.2741
0.5000 0.0000 0.2741
0.0000 0.5000 0.7259
0.5000 0.0000 0.7259
0.5000 0.5000 0.5000
0.5000 0.5000 0.1395
0.5000 0.5000 0.8605

Li2Ca2MgCd5 | Alexandria | GGA-PBE | optimized geometry; symmetry = P4/mbm; crystal system = tetragonal
1.0
3.9448 0.0000 0.0000
0.0000 10.8220 0.0000
0.0000 0.0000 10.8220
Li Ca Mg Cd
4 4 2 10
direct
0.0000 0.1192 0.6192
0.0000 0.8808 0.3808
0.0000 0.6192 0.8808
0.0000 0.3808 0.1192
0.0000 0.6793 0.1793
0.0000 0.3207 0.8207
0.0000 0.1793 0.3207
0.0000 0.8207 0.6793
0.0000 0.0000 0.0000
0.0000 0.5000 0.5000
0.5000 0.2042 0.0558
0.5000 0.7958 0.9442
0.5000 0.0558 0.7958
0.5000 0.7042 0.4442
0.5000 0.9442 0.2042
0.5000 0.2958 0.5558
0.5000 0.5558 0.7042
0.5000 0.4442 0.2958
0.5000 0.5000 0.0000
0.5000 0.0000 0.5000

| no. | total moment (Bohr magnetons per cell) | electronic total energy (eV per formula unit) | ΔH_f (0 K) (eV per atom) |
| --- | --- | --- | --- |
| 1 | 0.00 | -13.25 | 0.05 |
| 2 | 0.00 | -16.44 | -0.24 |